First-principles (GGA-PBE) data for a relaxed MnHSe2 crystal, as listed in Alexandria via LeMat-Bulk.

Geometry as CIF:
```
data_MnHSe2
_space_group_name_H-M_alt 'P 1'
_space_group_IT_number 1
_cell_length_a 8.9778
_cell_length_b 3.5798
_cell_length_c 11.4402
_cell_angle_alpha 90.00
_cell_angle_beta 90.00
_cell_angle_gamma 90.00
loop_
_space_group_symop_operation_xyz
'x,y,z'
loop_
_atom_site_label
_atom_site_type_symbol
_atom_site_fract_x
_atom_site_fract_y
_atom_site_fract_z
Mn1 Mn 0.0659 0.2500 0.1130
Mn2 Mn 0.4341 0.7500 0.6130
Mn3 Mn 0.5659 0.2500 0.3870
Mn4 Mn 0.9341 0.7500 0.8870
H1 H 0.1424 0.7500 0.3287
H2 H 0.3576 0.2500 0.8287
H3 H 0.6424 0.7500 0.1713
H4 H 0.8576 0.2500 0.6713
Se1 Se 0.0006 0.2500 0.7384
Se2 Se 0.1880 0.7500 0.9966
Se3 Se 0.3120 0.2500 0.4966
Se4 Se 0.4994 0.7500 0.2384
Se5 Se 0.5006 0.2500 0.7616
Se6 Se 0.6880 0.7500 0.5034
Se7 Se 0.8120 0.2500 0.0034
Se8 Se 0.9994 0.7500 0.2616
```

Properties
crystal system: orthorhombic
calculated volume: 22.98 Å³ per atom
VASP energy: -81.55 eV for the cell shown